The following is a PBE calculation of a relaxed LaTa crystal, from the Alexandria database.

The structure belongs to space group P6_3/mmc (No. 194); the cell edges are 5.4641, 5.4641 and 8.0570 Å and the angles 90.00°, 90.00° and 120.00°. Symmetry generates all atoms from La at (0.0000, 0.0000, 0.2500), La at (0.3333, 0.6667, 0.2500) and Ta at (0.3333, 0.6667, 0.5908).

For the calculated total energy, the calculation gives -15.54 eV/f.u. As for the formation energy: 14.3 kcal/mol of atoms. As for the density: 10.20 g/cm³. As for the polymorph energy (0 for the lowest one): 341 meV/atom. As for the calculated volume: 208.3 Å³ per cell.

The following is a PBE calculation of a relaxed CdInPS2 crystal, from the Alexandria database.

The structure belongs to space group P4/mmm (No. 123); the cell edges are 5.054, 5.054 and 5.066 Å and the angles 90.00°, 90.00° and 90.00°. Symmetry generates all atoms from Cd at (0.000, 0.000, 0.000), In at (0.500, 0.500, 0.500), P at (0.500, 0.500, 0.000) and S at (0.000, 0.500, 0.500).

For the calculated total energy, the calculation gives -14.09 eV/f.u. As for the density: 4.14 g/cm³. As for the polymorph energy (0 for the lowest one): 0 meV/atom. The formation energy (no corrections) comes out at 0.65 eV per atom. As for the calculated volume: 129.4 Å³ per cell.

The following is a PBE calculation of a relaxed PmHo2Tl3 crystal, from the Alexandria database.

The structure belongs to space group P4/mmm (No. 123); the cell edges are 3.773, 3.773 and 11.682 Å and the angles 90.00°, 90.00° and 90.00°. Symmetry generates all atoms from Pm at (0.000, 0.000, 0.000), Ho at (0.000, 0.000, 0.338), Tl at (0.500, 0.500, 0.176) and Tl at (0.500, 0.500, 0.500).

For the calculated total energy, the calculation gives -23.12 eV/f.u. As for the formation energy: -8.1 kcal/mol of atoms. As for the density: 10.86 g/cm³. As for the calculated volume: 166.3 Å³ per cell.

The following is a PBE calculation of a relaxed SnAsBr3 crystal, from the Alexandria database.

The structure belongs to space group Pm-3m (No. 221); the cell edges are 5.367, 5.367 and 5.367 Å and the angles 90.00°, 90.00° and 90.00°. Symmetry generates all atoms from Sn at (0.000, 0.000, 0.000), As at (0.500, 0.500, 0.500) and Br at (0.000, 0.500, 0.500).

For the calculated total energy, the calculation gives -13.53 eV/f.u. As for the density: 4.65 g/cm³. As for the polymorph energy (0 for the lowest one): 0 meV/atom. The formation energy (no corrections) comes out at 0.03 eV per atom. As for the calculated volume: 154.6 Å³ per cell.

The following is a PBE calculation of a relaxed Sc2SnPd crystal, from the Alexandria database.

The structure belongs to space group R-3m (No. 166, hexagonal axes); the cell edges are 3.4697, 3.4697 and 28.4200 Å and the angles 90.00°, 90.00° and 120.00°. Symmetry generates all atoms from Sc at (0.0000, 0.0000, 0.1034), Sn at (0.0000, 0.0000, 0.0000) and Pd at (0.0000, 0.0000, 0.5000).

For the calculated total energy, the calculation gives -22.77 eV/f.u. As for the formation energy: -5.3 kcal/mol of atoms. As for the density: 5.30 g/cm³. As for the calculated volume: 296.3 Å³ per cell.